[1]
Crystalline La2UGeRu4 at its relaxed geometry. Source: Alexandria via LeMat-Bulk, functional PBE.

Summary:
V (Å³/atom): 21.2
Symmetry: Fddd (70)
Energy relative to the elements (eV per atom): -0.2892

```
La2UGeRu4
1.0
0.000 6.135 9.192
3.013 0.000 9.192
3.013 6.135 0.000
La U Ge Ru
4 2 2 8
Direct
0.051 0.051 0.699
0.301 0.301 0.949
0.699 0.699 0.051
0.949 0.949 0.301
0.375 0.375 0.375
0.625 0.625 0.625
0.125 0.125 0.125
0.875 0.875 0.875
0.074 0.308 0.445
0.308 0.074 0.673
0.327 0.555 0.692
0.445 0.673 0.074
0.555 0.327 0.926
0.673 0.445 0.308
0.692 0.926 0.327
0.926 0.692 0.555
```

[2]
Crystalline Li3Ni2Sn2 at its relaxed geometry. Source: Alexandria via LeMat-Bulk, functional PBE.

Summary:
V (Å³/atom): 15.4
Symmetry: C2/m (12)
Energy relative to the elements (eV per atom): -0.3523

```
Li3Ni2Sn2
1.0
7.563 0.000 0.000
0.000 4.367 0.000
-2.501 0.000 6.541
Li Ni Sn
6 4 4
Direct
0.000 0.000 0.000
0.146 0.000 0.438
0.354 0.500 0.562
0.500 0.500 0.000
0.646 0.500 0.438
0.854 0.000 0.562
0.218 0.500 0.154
0.282 0.000 0.846
0.718 0.000 0.154
0.782 0.500 0.846
0.086 0.500 0.758
0.414 0.000 0.242
0.586 0.000 0.758
0.914 0.500 0.242
```

[3]
Crystalline PrEu at its relaxed geometry. Source: Alexandria via LeMat-Bulk, functional PBE.

Summary:
V (Å³/atom): 38.3
Polymorph energy (0 for the lowest one) (eV/atom): 0.1011
Symmetry: Pm-3m (221)
Energy relative to the elements (eV per atom): 0.1169

```
PrEu
1.0
4.249 0.000 0.000
0.000 4.249 0.000
0.000 0.000 4.249
Pr Eu
1 1
Direct
0.000 0.000 0.000
0.500 0.500 0.500
```